Entry from the Alexandria database: a geometry-optimized MgCuTe2 structure (GGA-PBE).

extended XYZ file:
```
8
Lattice="5.247 0.000 0.000 0.000 5.435 0.000 0.000 0.000 7.130" Properties=species:S:1:pos:R:3 pbc="T T T"
Mg 0.000 0.000 0.000
Mg 0.000 2.718 3.565
Cu 2.624 0.000 5.489
Cu 2.624 2.718 1.924
Te 0.000 0.000 4.372
Te 0.000 2.718 0.807
Te 2.624 0.000 1.127
Te 2.624 2.718 4.693
```

Results
Energy relative to the elements, uncorrected in kJ/mol of formula units: -120
Total magnetic moment in μB per cell: 0.00
Raw total energy in eV/atom: -3.306